Compound: LiV3Co
Source: Alexandria via LeMat-Bulk
Functional: PBE
Structure: optimized geometry

The structure in POSCAR format:
```
LiV3Co
1.0
-1.854 -3.353 2.079
3.220 0.042 2.938
-2.280 2.785 2.459
Co Li V
1 1 3
direct
0.000 0.000 0.000
0.500 0.500 0.500
0.500 0.000 0.000
0.000 0.500 0.000
0.000 0.000 0.500
```

Properties
- Energy of formation from the pure elements: 834.8 meV per atom
- Volume: 16.6 Å³/atom
- Mass density: 4.38 g/cm3